MgCdIn2 after structural relaxation, computed with PBEsol.

The total energy is -2.2696 eV/atom. As for the magnetic moment: 0.0000 μB/atom.

The space group is P4mm (No. 99) and the conventional cell measures 3.2400, 3.2400 and 8.7482 Å, with angles of 90.00, 90.00 and 90.00 degrees. The asymmetric unit holds Mg at (0.0000, 0.0000, 0.0000), Cd at (0.5000, 0.5000, 0.2257), In at (0.0000, 0.0000, 0.4799) and In at (0.5000, 0.5000, 0.7531).